(1)
Here is a relaxed structure of SiPHPtSCl from Alexandria. Energies are from PBE-GGA.

a b c (Å): 4.603 4.780 6.002
angles (deg): 98.95 90.08 118.61
Space group P1 (No. 1)
Inequivalent atoms, fractional coordinates:
Si: 0.000 0.000 0.000 x1
P: 0.720 0.440 0.793 x1
H: 0.319 0.639 0.910 x1
Pt: 0.175 0.350 0.707 x1
S: 0.587 0.172 0.068 x1
Cl: 0.948 0.891 0.371 x1

The calculation puts the magnetic moment at 0.00 μB/f.u. Its density of states at the Fermi level is 0.05 states/eV/atom.

=====

(2)
Here is a relaxed structure of SiPHPtSCl from Alexandria. Energies are from PBE-GGA.

a b c (Å): 3.532 3.533 11.544
angles (deg): 97.52 95.71 103.70
Space group P1 (No. 1)
Inequivalent atoms, fractional coordinates:
Si: 0.000 0.000 0.000 x1
P: 0.886 0.915 0.797 x1
H: 0.084 0.344 0.435 x1
Pt: 0.269 0.495 0.761 x1
S: 0.646 0.419 0.065 x1
Cl: 0.298 0.104 0.407 x1

The calculation puts the magnetic moment at 0.00 μB/f.u. Its density of states at the Fermi level is 0.13 states/eV/atom.

=====

(3)
Here is a relaxed structure of SiPHPtSCl from Alexandria. Energies are from PBE-GGA.

a b c (Å): 3.629 4.069 9.582
angles (deg): 94.97 99.39 90.00
Space group P1 (No. 1)
Inequivalent atoms, fractional coordinates:
Si: 0.000 0.000 0.000 x1
P: 0.435 0.905 0.850 x1
H: 0.520 0.135 0.589 x1
Pt: 0.506 0.390 0.014 x1
S: 0.072 0.678 0.167 x1
Cl: 0.740 0.306 0.528 x1

The calculation puts the magnetic moment at 0.00 μB/f.u. Its density of states at the Fermi level is 0.20 states/eV/atom.

=====

(4)
Here is a relaxed structure of SiPHPtSCl from Alexandria. Energies are from PBE-GGA.

a b c (Å): 3.170 4.036 10.550
angles (deg): 84.66 89.69 89.71
Space group P1 (No. 1)
Inequivalent atoms, fractional coordinates:
Si: 0.000 0.000 0.000 x1
P: 0.506 0.051 0.814 x1
H: 0.698 0.425 0.513 x1
Pt: 0.503 0.545 0.942 x1
S: 0.496 0.131 0.139 x1
Cl: 0.033 0.596 0.480 x1

The calculation puts the magnetic moment at 0.00 μB/f.u. Its density of states at the Fermi level is 0.20 states/eV/atom.

=====

(5)
Here is a relaxed structure of SiPHPtSCl from Alexandria. Energies are from PBE-GGA.

a b c (Å): 4.074 4.810 6.169
angles (deg): 102.14 94.68 95.59
Space group P1 (No. 1)
Inequivalent atoms, fractional coordinates:
Si: 0.000 0.000 0.000 x1
P: 0.734 0.502 0.886 x1
H: 0.229 0.551 0.601 x1
Pt: 0.192 0.309 0.742 x1
S: 0.739 0.343 0.179 x1
Cl: 0.232 0.906 0.301 x1

The calculation puts the magnetic moment at 0.00 μB/f.u. Its density of states at the Fermi level is 0.23 states/eV/atom.

=====

(6)
Here is a relaxed structure of SiPHPtSCl from Alexandria. Energies are from PBE-GGA.

a b c (Å): 3.370 4.367 10.693
angles (deg): 94.14 95.06 112.55
Space group P1 (No. 1)
Inequivalent atoms, fractional coordinates:
Si: 0.000 0.000 0.000 x1
P: 0.929 0.755 0.177 x1
H: 0.664 0.286 0.487 x1
Pt: 0.237 0.364 0.186 x1
S: 0.463 0.997 0.872 x1
Cl: 0.444 0.452 0.525 x1

The calculation puts the magnetic moment at 0.00 μB/f.u. Its density of states at the Fermi level is 0.10 states/eV/atom.

=====

(7)
Here is a relaxed structure of SiPHPtSCl from Alexandria. Energies are from PBE-GGA.

a b c (Å): 5.906 3.444 11.719
angles (deg): 90.00 97.47 90.00
Space group Cm (No. 8)
Inequivalent atoms, fractional coordinates:
Si: 0.000 0.000 0.000 x2
P: 0.228 0.500 0.311 x2
H: 0.166 0.500 0.519 x2
Pt: 0.034 0.000 0.206 x2
S: 0.306 0.000 0.892 x2
Cl: 0.005 0.500 0.585 x2

The calculation puts the magnetic moment at 0.00 μB/f.u. Its density of states at the Fermi level is 0.14 states/eV/atom.

=====

(8)
Here is a relaxed structure of SiPHPtSCl from Alexandria. Energies are from PBE-GGA.

a b c (Å): 3.626 4.069 9.959
angles (deg): 85.46 80.27 89.97
Space group P1 (No. 1)
Inequivalent atoms, fractional coordinates:
Si: 0.000 0.000 0.000 x1
P: 0.433 0.908 0.145 x1
H: 0.983 0.514 0.526 x1
Pt: 0.506 0.390 0.986 x1
S: 0.075 0.677 0.839 x1
Cl: 0.732 0.344 0.483 x1

The calculation puts the magnetic moment at 0.00 μB/f.u. Its density of states at the Fermi level is 0.18 states/eV/atom.

=====

Sequential total energy output: -4.59; -4.63; -4.62; -4.57; -4.54; -4.71; -4.65; -4.62 eV/atom